(1)
# SmTm5Pb6, relaxed, DFT PBE
data_SmTm5Pb6
_chemical_formula_sum 'Sm1 Tm5 Pb6'
_cell_length_a 8.605
_cell_length_b 6.090
_cell_length_c 8.207
_cell_angle_alpha 68.22
_cell_angle_beta 79.42
_cell_angle_gamma 60.33
_symmetry_space_group_name_H-M 'P 1'
_symmetry_Int_Tables_number 1
loop_
_symmetry_equiv_pos_as_xyz
'x,y,z'
loop_
_atom_site_label
_atom_site_type_symbol
_atom_site_fract_x
_atom_site_fract_y
_atom_site_fract_z
Tm1 Tm 0.500 0.839 0.323
Pb1 Pb 0.743 0.428 0.661
Pb2 Pb 0.257 0.572 0.339
Sm1 Sm 0.000 0.000 0.000
Pb3 Pb 0.245 0.267 0.000
Pb4 Pb 0.257 0.911 0.661
Tm2 Tm 0.000 0.670 0.661
Tm3 Tm 0.500 0.161 0.677
Tm4 Tm 0.000 0.330 0.339
Tm5 Tm 0.500 0.500 0.000
Pb5 Pb 0.743 0.089 0.339
Pb6 Pb 0.755 0.733 0.000
# - Energy above the lowest structure with this stoichiometry: 0 meV/atom
# - Space-group type: No. 12

(2)
# Sm2Tm2Pb3, relaxed, DFT PBE
data_Sm2Tm2Pb3
_chemical_formula_sum 'Sm2 Tm2 Pb3'
_cell_length_a 4.580
_cell_length_b 8.109
_cell_length_c 8.459
_cell_angle_alpha 120.01
_cell_angle_beta 105.71
_cell_angle_gamma 90.00
_symmetry_space_group_name_H-M 'P 1'
_symmetry_Int_Tables_number 1
loop_
_symmetry_equiv_pos_as_xyz
'x,y,z'
loop_
_atom_site_label
_atom_site_type_symbol
_atom_site_fract_x
_atom_site_fract_y
_atom_site_fract_z
Sm1 Sm 0.354 0.238 0.708
Sm2 Sm 0.646 0.762 0.292
Pb1 Pb 0.700 0.194 0.400
Pb2 Pb 0.300 0.806 0.600
Pb3 Pb 0.000 0.500 0.000
Tm1 Tm 0.144 0.368 0.288
Tm2 Tm 0.856 0.632 0.712
# - Space-group type: No. 12
# - VASP energy: -4.44 eV per atom

(3)
# SmTmPb, relaxed, DFT PBE
data_SmTmPb
_chemical_formula_sum 'Sm2 Tm2 Pb2'
_cell_length_a 6.120
_cell_length_b 3.445
_cell_length_c 9.074
_cell_angle_alpha 79.06
_cell_angle_beta 90.00
_cell_angle_gamma 90.00
_symmetry_space_group_name_H-M 'P 1'
_symmetry_Int_Tables_number 1
loop_
_symmetry_equiv_pos_as_xyz
'x,y,z'
loop_
_atom_site_label
_atom_site_type_symbol
_atom_site_fract_x
_atom_site_fract_y
_atom_site_fract_z
Tm1 Tm 0.500 0.000 0.000
Pb1 Pb 0.250 0.156 0.688
Pb2 Pb 0.750 0.844 0.312
Sm1 Sm 0.250 0.336 0.328
Sm2 Sm 0.750 0.664 0.672
Tm2 Tm 0.000 0.000 0.000
# - Space-group type: No. 63
# - VASP energy: -4.47 eV per atom

(4)
# Sm2Tm3Pb2, relaxed, DFT PBE
data_Sm2Tm3Pb2
_chemical_formula_sum 'Sm2 Tm3 Pb2'
_cell_length_a 4.458
_cell_length_b 6.479
_cell_length_c 8.571
_cell_angle_alpha 109.63
_cell_angle_beta 90.00
_cell_angle_gamma 110.12
_symmetry_space_group_name_H-M 'P 1'
_symmetry_Int_Tables_number 1
loop_
_symmetry_equiv_pos_as_xyz
'x,y,z'
loop_
_atom_site_label
_atom_site_type_symbol
_atom_site_fract_x
_atom_site_fract_y
_atom_site_fract_z
Sm1 Sm 0.867 0.734 0.213
Pb1 Pb 0.829 0.659 0.796
Sm2 Sm 0.133 0.266 0.787
Tm1 Tm 0.620 0.241 0.439
Tm2 Tm 0.500 0.000 0.000
Tm3 Tm 0.380 0.759 0.561
Pb2 Pb 0.171 0.341 0.204
# - Space-group type: No. 12
# - VASP energy: -4.63 eV per atom

no.,DOS at the Fermi energy (states/eV per cell)
1,7.28
2,2.98
3,6.03
4,8.06